1.
Material: La4PmGe2
Method: DFT, PBE-GGA
State: relaxed

Unit cell a=5.1319 b=5.1319 c=30.6728 alpha=90.00 beta=90.00 gamma=120.00
Space group R-3m (No. 166, hexagonal axes)
Symmetry-distinct sites (fractional):
La 0.0000 0.0000 0.1048 x6
La 0.0000 0.0000 0.2974 x6
Pm 0.0000 0.0000 0.5000 x3
Ge 0.0000 0.0000 0.4003 x6

Results
Distance to the lowest polymorph of the same formula ... 0.69 eV/f.u.
ρ ... 6.02 g/cm³
Magnetization ... 0.00 μB per formula unit

2.
Material: La4Pm3Ge4
Method: DFT, PBE-GGA
State: relaxed

Unit cell a=3.856 b=9.026 c=17.992 alpha=90.00 beta=90.00 gamma=90.00
Space group Immm (No. 71)
Symmetry-distinct sites (fractional):
La 0.000 0.170 0.171 x8
Pm 0.000 0.000 0.408 x4
Pm 0.000 0.500 0.500 x2
Ge 0.000 0.275 0.000 x4
Ge 0.000 0.500 0.220 x4

Results
ρ ... 6.79 g/cm³
Magnetization ... 0.00 μB per formula unit

3.
Material: La2Pm3Ge4
Method: DFT, PBE-GGA
State: relaxed

Unit cell a=7.278 b=16.506 c=8.449 alpha=90.00 beta=90.00 gamma=90.00
Space group Cmce (No. 64)
Symmetry-distinct sites (fractional):
La 0.000 0.106 0.089 x8
Pm 0.000 0.000 0.500 x4
Pm 0.250 0.205 0.750 x8
Ge 0.000 0.190 0.445 x8
Ge 0.250 0.028 0.750 x8

Results
Distance to the lowest polymorph of the same formula ... 1.26 eV/f.u.
ρ ... 6.57 g/cm³
Magnetization ... 0.00 μB per formula unit

4.
Material: La2PmGe
Method: DFT, PBE-GGA
State: relaxed

Unit cell a=4.217 b=12.584 c=9.603 alpha=90.00 beta=90.00 gamma=90.00
Space group Cmcm (No. 63)
Symmetry-distinct sites (fractional):
La 0.000 0.145 0.056 x8
Pm 0.000 0.430 0.250 x4
Ge 0.000 0.243 0.750 x4

Results
Distance to the lowest polymorph of the same formula ... 0.00 eV/f.u.
ρ ... 6.46 g/cm³
Magnetization ... 0.00 μB per formula unit

5.
Material: LaPm2Ge
Method: DFT, PBE-GGA
State: relaxed

Unit cell a=3.7323 b=3.7323 c=33.3573 alpha=90.00 beta=90.00 gamma=120.00
Space group R-3m (No. 166, hexagonal axes)
Symmetry-distinct sites (fractional):
La 0.0000 0.0000 0.0000 x3
Pm 0.0000 0.0000 0.1072 x6
Ge 0.0000 0.0000 0.5000 x3

Results
Distance to the lowest polymorph of the same formula ... 1.43 eV/f.u.
ρ ... 6.21 g/cm³
Magnetization ... 0.00 μB per formula unit

6.
Material: LaPmGe3
Method: DFT, PBE-GGA
State: relaxed

Unit cell a=4.399 b=27.050 c=4.118 alpha=90.00 beta=90.00 gamma=90.00
Space group Cmcm (No. 63)
Symmetry-distinct sites (fractional):
La 0.000 0.072 0.250 x4
Pm 0.000 0.203 0.750 x4
Ge 0.000 0.316 0.750 x4
Ge 0.000 0.377 0.250 x4
Ge 0.000 0.473 0.250 x4

Results
ρ ... 6.80 g/cm³
Magnetization ... 0.00 μB per formula unit

7.
Material: LaPm3Ge4
Method: DFT, PBE-GGA
State: relaxed

Unit cell a=6.084 b=6.084 c=6.084 alpha=90.00 beta=90.00 gamma=90.00
Space group Pm-3m (No. 221)
Symmetry-distinct sites (fractional):
La 0.000 0.000 0.000 x1
Pm 0.000 0.500 0.500 x3
Ge 0.000 0.000 0.500 x3
Ge 0.500 0.500 0.500 x1

Results
ρ ... 6.37 g/cm³
Magnetization ... 0.00 μB per formula unit

8.
Material: LaPm4Ge4
Method: DFT, PBE-GGA
State: relaxed

Unit cell a=9.475 b=9.475 c=5.992 alpha=90.00 beta=90.00 gamma=90.00
Space group P4_2/n (No. 86, origin choice 2)
Symmetry-distinct sites (fractional):
La 0.250 0.250 0.250 x2
Pm 0.078 0.655 0.136 x8
Ge 0.031 0.615 0.634 x8

Results
ρ ... 6.23 g/cm³
Magnetization ... 0.00 μB per formula unit

Number 1: calculated volume 700 Å³ per cell, energy -5.199 eV/atom, energy relative to the elements -0.385 eV per atom. Number 2: calculated volume 626 Å³ per cell, energy -5.408 eV/atom, energy relative to the elements -0.642 eV per atom. Number 3: calculated volume 1015 Å³ per cell, energy -5.435 eV/atom, energy relative to the elements -0.704 eV per atom. Number 4: calculated volume 510 Å³ per cell, energy -5.262 eV/atom, energy relative to the elements -0.457 eV per atom. Number 5: calculated volume 402 Å³ per cell, energy -4.854 eV/atom, energy relative to the elements -0.093 eV per atom. Number 6: calculated volume 490 Å³ per cell, energy -5.452 eV/atom, energy relative to the elements -0.746 eV per atom. Number 7: calculated volume 225 Å³ per cell, energy -5.348 eV/atom, energy relative to the elements -0.642 eV per atom. Number 8: calculated volume 538 Å³ per cell, energy -5.280 eV/atom, energy relative to the elements -0.569 eV per atom.